# 1
## Ti2Zn2Cr (PBE)

Data for a geometry-optimized Ti2Zn2Cr structure.

Computed properties:
Space-group type: No. 127
Total energy in eV/atom: -5.393
Crystal system: tetragonal
Energy of formation in eV/atom: 0.200

Cell: 6.6008 6.6008 3.5026 Å, 90.00 90.00 90.00°
Fractional positions:
Ti: 0.1800 0.3200 0.0000
Ti: 0.3200 0.8200 0.0000
Ti: 0.6800 0.1800 0.0000
Ti: 0.8200 0.6800 0.0000
Zn: 0.1279 0.6279 0.5000
Zn: 0.3721 0.1279 0.5000
Zn: 0.6279 0.8721 0.5000
Zn: 0.8721 0.3721 0.5000
Cr: 0.0000 0.0000 0.5000
Cr: 0.5000 0.5000 0.5000

# 2
## TiZn4Cr (PBE)

Data for a geometry-optimized TiZn4Cr structure.

Computed properties:
Space-group type: No. 216
Total energy in eV/atom: -3.796
Crystal system: cubic
Energy of formation in eV/atom: -0.027

Cell: 4.9904 4.9904 4.9904 Å, 60.00 60.00 60.00°
Fractional positions:
Ti: 0.0000 0.0000 0.0000
Zn: 0.3751 0.3751 0.3751
Zn: 0.3751 0.3751 0.8748
Zn: 0.3751 0.8748 0.3751
Zn: 0.8748 0.3751 0.3751
Cr: 0.7500 0.7500 0.7500

# 3
## ZrTiCr2 (PBE)

Data for a geometry-optimized ZrTiCr2 structure.

Computed properties:
Space-group type: No. 225
Total energy in eV/atom: -8.753
Crystal system: cubic
Energy of formation in eV/atom: 0.169
Energy above the most stable polymorph in this dataset in kJ/mol of atoms: 0.00

Cell: 4.4891 4.4891 4.4891 Å, 60.00 60.00 60.00°
Fractional positions:
Zr: 0.0000 0.0000 0.0000
Ti: 0.5000 0.5000 0.5000
Cr: 0.2500 0.2500 0.2500
Cr: 0.7500 0.7500 0.7500